[1]
RbYPbF6: relaxed, PBE-GGA.

D(E_F) in states/eV per cell: 0.00
Formation energy (no corrections) in eV per atom: -3.180
Density in g cm⁻³: 4.40

Cell: 8.008 8.184 8.085 Å, 120.41 119.69 90.00°
Sites, in units of the cell vectors:
Rb1 0.856 0.606 0.712
Rb2 0.144 0.394 0.288
Y1 0.500 0.500 0.000
Y2 0.500 0.000 0.000
Pb1 0.500 0.000 0.500
Pb2 0.000 0.000 0.500
F1 0.571 0.821 0.141
F2 0.867 0.117 0.735
F3 0.825 0.160 0.266
F4 0.441 0.606 0.266
F5 0.441 0.160 0.266
F6 0.825 0.606 0.266
F7 0.429 0.179 0.859
F8 0.133 0.883 0.265
F9 0.175 0.840 0.734
F10 0.559 0.394 0.734
F11 0.559 0.840 0.734
F12 0.175 0.394 0.734

---

[2]
Rb2YPbF6: relaxed, PBE-GGA.

D(E_F) in states/eV per cell: 6.97
Formation energy (no corrections) in eV per atom: -2.883
Density in g cm⁻³: 4.32

Cell: 6.807 6.807 6.811 Å, 60.02 60.02 90.00°
Sites, in units of the cell vectors:
Pb1 0.000 0.000 0.000
Y1 0.500 0.500 0.000
Rb1 0.750 0.250 0.500
Rb2 0.250 0.750 0.500
F1 0.272 0.272 0.457
F2 0.728 0.728 0.543
F3 0.271 0.271 0.000
F4 0.729 0.729 0.000
F5 0.729 0.271 0.000
F6 0.271 0.729 0.000